[1]
The following is a PBE calculation of a geometry-optimized HoLuPt4 structure, from the Alexandria database.

## Properties
**Total energy**: -0.4900 Ry/atom
**M_tot**: 0.000 μB per cell
**Crystal system**: cubic

Lattice parameters (Å, degrees): 7.6509 7.6509 7.6509 90.00 90.00 90.00
Space group F-43m (No. 216)
Symmetry-distinct sites (fractional):
Ho (0.0000, 0.0000, 0.0000) [4 per cell]
Lu (0.2500, 0.2500, 0.7500) [4 per cell]
Pt (0.1248, 0.1248, 0.3752) [16 per cell]

[2]
The following is a PBE calculation of a geometry-optimized HoLuPt structure, from the Alexandria database.

## Properties
**Total energy**: -0.4387 Ry/atom
**M_tot**: 0.000 μB per cell
**Crystal system**: cubic

Lattice parameters (Å, degrees): 6.7852 6.7852 6.7852 90.00 90.00 90.00
Space group F-43m (No. 216)
Symmetry-distinct sites (fractional):
Ho (0.0000, 0.0000, 0.0000) [4 per cell]
Lu (0.0000, 0.0000, 0.5000) [4 per cell]
Pt (0.2500, 0.2500, 0.7500) [4 per cell]

[3]
The following is a PBE calculation of a geometry-optimized HoLuRuPt structure, from the Alexandria database.

## Properties
**Total energy**: -0.5122 Ry/atom
**M_tot**: 0.000 μB per cell
**Crystal system**: cubic

Lattice parameters (Å, degrees): 6.7969 6.7969 6.7969 90.00 90.00 90.00
Space group F-43m (No. 216)
Symmetry-distinct sites (fractional):
Ho (0.0000, 0.0000, 0.0000) [4 per cell]
Lu (0.0000, 0.0000, 0.5000) [4 per cell]
Ru (0.2500, 0.2500, 0.2500) [4 per cell]
Pt (0.2500, 0.2500, 0.7500) [4 per cell]

[4]
The following is a PBE calculation of a geometry-optimized HoLuTlPt structure, from the Alexandria database.

## Properties
**Total energy**: -0.3740 Ry/atom
**M_tot**: 0.000 μB per cell
**Crystal system**: cubic

Lattice parameters (Å, degrees): 7.1990 7.1990 7.1990 90.00 90.00 90.00
Space group F-43m (No. 216)
Symmetry-distinct sites (fractional):
Ho (0.0000, 0.0000, 0.0000) [4 per cell]
Lu (0.0000, 0.0000, 0.5000) [4 per cell]
Tl (0.2500, 0.2500, 0.2500) [4 per cell]
Pt (0.2500, 0.2500, 0.7500) [4 per cell]

[5]
The following is a PBE calculation of a geometry-optimized HoLuZnPt structure, from the Alexandria database.

## Properties
**Total energy**: -0.3625 Ry/atom
**M_tot**: 0.000 μB per cell
**Crystal system**: cubic

Lattice parameters (Å, degrees): 6.9603 6.9603 6.9603 90.00 90.00 90.00
Space group F-43m (No. 216)
Symmetry-distinct sites (fractional):
Ho (0.0000, 0.0000, 0.0000) [4 per cell]
Lu (0.0000, 0.0000, 0.5000) [4 per cell]
Zn (0.2500, 0.2500, 0.2500) [4 per cell]
Pt (0.2500, 0.2500, 0.7500) [4 per cell]

[6]
The following is a PBE calculation of a geometry-optimized HoLuPu2 structure, from the Alexandria database.

## Properties
**ΔE to the lowest computed polymorph**: 0 kJ/mol of formula units
**M_tot**: 12.789 μB per cell
**Crystal system**: tetragonal

Lattice parameters (Å, degrees): 3.3739 3.3739 10.0236 90.00 90.00 90.00
Space group P4/mmm (No. 123)
Symmetry-distinct sites (fractional):
Ho (0.0000, 0.0000, 0.0000) [1 per cell]
Lu (0.0000, 0.0000, 0.5000) [1 per cell]
Pu (0.5000, 0.5000, 0.2526) [2 per cell]

[7]
The following is a PBE calculation of a geometry-optimized HoLuPu2 structure, from the Alexandria database.

## Properties
**ΔE to the lowest computed polymorph**: 1 kJ/mol of formula units
**M_tot**: 12.780 μB per cell
**Crystal system**: tetragonal

Lattice parameters (Å, degrees): 4.7690 4.7690 5.0054 90.00 90.00 90.00
Space group P4/mmm (No. 123)
Symmetry-distinct sites (fractional):
Ho (0.0000, 0.0000, 0.0000) [1 per cell]
Lu (0.5000, 0.5000, 0.0000) [1 per cell]
Pu (0.0000, 0.5000, 0.5000) [2 per cell]

[8]
The following is a PBE calculation of a geometry-optimized Ho2LuPu structure, from the Alexandria database.

## Properties
**ΔE to the lowest computed polymorph**: 18 kJ/mol of formula units
**M_tot**: 28.516 μB per cell
**Crystal system**: cubic

Lattice parameters (Å, degrees): 7.8125 7.8125 7.8125 90.00 90.00 90.00
Space group Fm-3m (No. 225)
Symmetry-distinct sites (fractional):
Ho (0.2500, 0.2500, 0.2500) [8 per cell]
Lu (0.0000, 0.0000, 0.0000) [4 per cell]
Pu (0.0000, 0.0000, 0.5000) [4 per cell]

[9]
The following is a PBE calculation of a geometry-optimized HoLuPu2 structure, from the Alexandria database.

## Properties
**ΔE to the lowest computed polymorph**: 3 kJ/mol of formula units
**M_tot**: 35.609 μB per cell
**Crystal system**: trigonal

Lattice parameters (Å, degrees): 3.4007 3.4007 33.9594 90.00 90.00 120.00
Space group R-3m (No. 166, hexagonal axes)
Symmetry-distinct sites (fractional):
Ho (0.0000, 0.0000, 0.0000) [3 per cell]
Lu (0.0000, 0.0000, 0.5000) [3 per cell]
Pu (0.0000, 0.0000, 0.2494) [6 per cell]

[10]
The following is a PBE calculation of a geometry-optimized Ho2LuPu structure, from the Alexandria database.

## Properties
**ΔE to the lowest computed polymorph**: 0 kJ/mol of formula units
**M_tot**: 6.325 μB per cell
**Crystal system**: tetragonal

Lattice parameters (Å, degrees): 4.9181 4.9181 4.9078 90.00 90.00 90.00
Space group P4/mmm (No. 123)
Symmetry-distinct sites (fractional):
Ho (0.0000, 0.5000, 0.0000) [2 per cell]
Lu (0.0000, 0.0000, 0.5000) [1 per cell]
Pu (0.5000, 0.5000, 0.5000) [1 per cell]

[11]
The following is a PBE calculation of a geometry-optimized Ho2LuPu structure, from the Alexandria database.

## Properties
**ΔE to the lowest computed polymorph**: 15 kJ/mol of formula units
**M_tot**: 7.205 μB per cell
**Crystal system**: tetragonal

Lattice parameters (Å, degrees): 4.0192 4.0192 7.3876 90.00 90.00 90.00
Space group P4/mmm (No. 123)
Symmetry-distinct sites (fractional):
Ho (0.0000, 0.0000, 0.2405) [2 per cell]
Lu (0.5000, 0.5000, 0.5000) [1 per cell]
Pu (0.5000, 0.5000, 0.0000) [1 per cell]

[12]
The following is a PBE calculation of a geometry-optimized SmHoLuPu structure, from the Alexandria database.

## Properties
**Total energy**: -0.5033 Ry/atom
**M_tot**: 24.932 μB per cell
**Crystal system**: cubic

Lattice parameters (Å, degrees): 7.8819 7.8819 7.8819 90.00 90.00 90.00
Space group F-43m (No. 216)
Symmetry-distinct sites (fractional):
Sm (0.0000, 0.0000, 0.0000) [4 per cell]
Ho (0.2500, 0.2500, 0.2500) [4 per cell]
Lu (0.2500, 0.2500, 0.7500) [4 per cell]
Pu (0.0000, 0.0000, 0.5000) [4 per cell]

[13]
The following is a PBE calculation of a geometry-optimized TbHoLuPu structure, from the Alexandria database.

## Properties
**Total energy**: -0.5022 Ry/atom
**M_tot**: 25.688 μB per cell
**Crystal system**: cubic

Lattice parameters (Å, degrees): 7.8411 7.8411 7.8411 90.00 90.00 90.00
Space group F-43m (No. 216)
Symmetry-distinct sites (fractional):
Tb (0.0000, 0.0000, 0.0000) [4 per cell]
Ho (0.2500, 0.2500, 0.2500) [4 per cell]
Lu (0.2500, 0.2500, 0.7500) [4 per cell]
Pu (0.0000, 0.0000, 0.5000) [4 per cell]

[14]
The following is a PBE calculation of a geometry-optimized HoLuPuTh structure, from the Alexandria database.

## Properties
**Total energy**: -0.5527 Ry/atom
**M_tot**: 31.785 μB per cell
**Crystal system**: cubic

Lattice parameters (Å, degrees): 7.8179 7.8179 7.8179 90.00 90.00 90.00
Space group F-43m (No. 216)
Symmetry-distinct sites (fractional):
Ho (0.0000, 0.0000, 0.0000) [4 per cell]
Lu (0.2500, 0.2500, 0.7500) [4 per cell]
Pu (0.2500, 0.2500, 0.2500) [4 per cell]
Th (0.0000, 0.0000, 0.5000) [4 per cell]

[15]
The following is a PBE calculation of a geometry-optimized YHoLuPu structure, from the Alexandria database.

## Properties
**Total energy**: -0.5358 Ry/atom
**M_tot**: 26.203 μB per cell
**Crystal system**: cubic

Lattice parameters (Å, degrees): 7.8472 7.8472 7.8472 90.00 90.00 90.00
Space group F-43m (No. 216)
Symmetry-distinct sites (fractional):
Y (0.0000, 0.0000, 0.0000) [4 per cell]
Ho (0.2500, 0.2500, 0.7500) [4 per cell]
Lu (0.2500, 0.2500, 0.2500) [4 per cell]
Pu (0.0000, 0.0000, 0.5000) [4 per cell]